Entry from Alexandria via LeMat-Bulk: a geometry-optimized YMnPCl2 structure (PBE).

Output
- Magnetic moment: 5.17 Bohr magnetons per cell
- Formation energy (no corrections): -512 meV per atom
- Offset from the most stable computed form: 130 meV/atom

Geometry as CIF:
```
data_YMnPCl2
_chemical_formula_sum 'Y1 Mn1 P1 Cl2'
_cell_length_a 5.100
_cell_length_b 5.100
_cell_length_c 5.667
_cell_angle_alpha 90.00
_cell_angle_beta 90.00
_cell_angle_gamma 90.00
_space_group_name_H-M_alt 'P 1'
_space_group_IT_number 1
loop_
_space_group_symop_operation_xyz
'x,y,z'
loop_
_atom_site_label
_atom_site_type_symbol
_atom_site_fract_x
_atom_site_fract_y
_atom_site_fract_z
Y1 Y 0.000 0.000 0.000
P1 P 0.000 0.000 0.500
Mn1 Mn 0.500 0.500 0.500
Cl1 Cl 0.000 0.500 0.000
Cl2 Cl 0.500 0.000 0.000
```